1.
First-principles (PBE) data for an optimized crystal structure of PmNi5As3, as listed in the Alexandria database.

Lattice parameters (Å, degrees): 3.7379 12.1790 11.7915 90.00 90.00 90.00
Space group Cmcm (No. 63)
Unique sites:
Pm  0.0000  0.1605  0.2500 x4
Ni  0.0000  0.0000  0.0000 x4
Ni  0.0000  0.1949  0.5682 x8
Ni  0.0000  0.4505  0.1447 x8
As  0.0000  0.1156  0.7500 x4
As  0.0000  0.3797  0.5448 x8

Summary:
* DFT formation energy: -0.56 eV per atom
* volume: 536.8 Å³ per cell
* total magnetic moment: 0.000 μB/atom
* calculated total energy: -5.851 eV/atom

=====

2.
First-principles (PBE) data for an optimized crystal structure of Cs2MgFeC6N6, as listed in the Alexandria database.

Lattice parameters (Å, degrees): 10.4716 10.4716 10.4716 90.00 90.00 90.00
Space group Fm-3m (No. 225)
Unique sites:
Cs  0.2500  0.2500  0.2500 x8
Mg  0.0000  0.0000  0.0000 x4
Fe  0.0000  0.0000  0.5000 x4
C  0.0000  0.0000  0.3203 x24
N  0.0000  0.0000  0.2075 x24

Summary:
* volume: 1148.3 Å³ per cell
* total magnetic moment: 0.005 μB/atom
* ΔE_f (raw): -331.5 meV per atom
* calculated total energy: -7.648 eV/atom

=====

3.
First-principles (PBE) data for an optimized crystal structure of LiRePt, as listed in the Alexandria database.

Lattice parameters (Å, degrees): 4.4384 4.4384 5.5088 90.00 90.00 120.00
Space group P-6m2 (No. 187)
Unique sites:
Li  0.0000  0.0000  0.0000 x1
Li  0.0000  0.0000  0.5000 x1
Re  0.6667  0.3333  0.2067 x2
Pt  0.3333  0.6667  0.2469 x2

Summary:
* DFT formation energy: 0.08 eV per atom
* volume: 94.0 Å³ per cell
* total magnetic moment: 0.000 μB/atom
* calculated total energy: -6.726 eV/atom

=====

4.
First-principles (PBE) data for an optimized crystal structure of Ho2Er4C, as listed in the Alexandria database.

Lattice parameters (Å, degrees): 4.7909 4.7909 17.6108 90.00 90.00 90.00
Space group I4/mmm (No. 139)
Unique sites:
Ho  0.0000  0.0000  0.1728 x4
Er  0.0000  0.0000  0.3659 x4
Er  0.0000  0.5000  0.0000 x4
C  0.0000  0.0000  0.5000 x2

Summary:
* DFT formation energy: 0.13 eV per atom
* volume: 404.2 Å³ per cell
* total magnetic moment: 0.000 μB/atom
* calculated total energy: -5.103 eV/atom

=====

5.
First-principles (PBE) data for an optimized crystal structure of Pr3Dy2Th, as listed in the Alexandria database.

Lattice parameters (Å, degrees): 9.5258 13.3183 6.5814 90.00 90.00 90.00
Space group Cmc2_1 (No. 36)
Unique sites:
Pr  0.0000  0.0842  0.0000 x4
Pr  0.1838  0.3221  0.7755 x8
Dy  0.1809  0.4247  0.2593 x8
Th  0.0000  0.1726  0.4831 x4

Summary:
* DFT formation energy: 0.24 eV per atom
* volume: 835.0 Å³ per cell
* total magnetic moment: 0.000 μB/atom
* calculated total energy: -4.917 eV/atom

=====

6.
First-principles (PBE) data for an optimized crystal structure of Rb3AuS2, as listed in the Alexandria database.

Lattice parameters (Å, degrees): 8.2059 9.3468 5.5897 90.00 90.00 90.00
Space group Pnnm (No. 58)
Unique sites:
Rb  0.0000  0.0000  0.0000 x2
Rb  0.1083  0.2644  0.5000 x4
Au  0.0000  0.5000  0.0000 x2
S  0.2356  0.9087  0.5000 x4

Summary:
* volume: 428.7 Å³ per cell
* total magnetic moment: 0.000 μB/atom
* ΔE_f (raw): -914.1 meV per atom
* calculated total energy: -3.320 eV/atom

=====

7.
First-principles (PBE) data for an optimized crystal structure of ZnReMoRu, as listed in the Alexandria database.

Lattice parameters (Å, degrees): 6.1765 6.1765 6.1765 90.00 90.00 90.00
Space group F-43m (No. 216)
Unique sites:
Zn  0.0000  0.0000  0.0000 x4
Re  0.2500  0.2500  0.2500 x4
Mo  0.0000  0.0000  0.5000 x4
Ru  0.2500  0.2500  0.7500 x4

Summary:
* DFT formation energy: 0.13 eV per atom
* volume: 235.6 Å³ per cell
* total magnetic moment: 0.000 μB/atom
* calculated total energy: -8.324 eV/atom

=====

8.
First-principles (PBE) data for an optimized crystal structure of PrDyAlPd, as listed in the Alexandria database.

Lattice parameters (Å, degrees): 7.3077 7.3077 7.3077 90.00 90.00 90.00
Space group F-43m (No. 216)
Unique sites:
Pr  0.0000  0.0000  0.0000 x4
Dy  0.0000  0.0000  0.5000 x4
Al  0.2500  0.2500  0.2500 x4
Pd  0.2500  0.2500  0.7500 x4

Summary:
* DFT formation energy: -0.50 eV per atom
* volume: 390.2 Å³ per cell
* total magnetic moment: 0.000 μB/atom
* calculated total energy: -5.078 eV/atom

=====

no.,DOS at the Fermi energy (states/eV per atom)
1,0.7397
2,0.0000
3,0.5492
4,1.4211
5,1.6258
6,0.0000
7,0.7245
8,0.8984